(1)
A plane-wave DFT calculation with GGA-PBE was carried out for a relaxed structure of Y3Ho3Tm.

a = 9.8245 Å, b = 9.8245 Å, c = 8.1821 Å
α = 90.00°, β = 90.00°, γ = 120.00°
Space group R3m (No. 160, hexagonal axes)
Inequivalent atoms, fractional coordinates:
Y 0.2161 0.4322 0.0000 x9
Ho 0.1979 0.3957 0.5739 x9
Tm 0.0000 0.0000 0.6315 x3

Values from the calculation:
Energy   -107.18 eV/cell
Energy of formation   0.27 eV per atom
V   32.568 A^3/atom
Calculated density   6.78 g cm⁻³

=====

(2)
A plane-wave DFT calculation with GGA-PBE was carried out for a relaxed structure of Tm2GaNi4Ge3.

a = 4.019 Å, b = 4.019 Å, c = 9.809 Å
α = 90.00°, β = 90.00°, γ = 90.00°
Space group P-4m2 (No. 115)
Inequivalent atoms, fractional coordinates:
Tm 0.000 0.500 0.248 x2
Ga 0.000 0.000 0.500 x1
Ni 0.000 0.000 0.000 x1
Ni 0.000 0.500 0.635 x2
Ni 0.500 0.500 0.000 x1
Ge 0.000 0.500 0.870 x2
Ge 0.500 0.500 0.500 x1

Values from the calculation:
Energy   -55.69 eV/cell
Energy of formation   -0.67 eV per atom
V   15.842 A^3/atom
Calculated density   9.02 g cm⁻³

=====

(3)
A plane-wave DFT calculation with GGA-PBE was carried out for a relaxed structure of YTlAgTe2.

a = 8.150 Å, b = 5.073 Å, c = 8.364 Å
α = 90.00°, β = 99.34°, γ = 90.00°
Space group P2/c (No. 13)
Inequivalent atoms, fractional coordinates:
Y 0.000 0.005 0.250 x2
Tl 0.500 0.360 0.750 x2
Ag 0.000 0.500 0.000 x2
Te 0.261 0.132 0.040 x4

Values from the calculation:
Energy   -41.35 eV/cell
V   34.123 A^3/atom
ΔE_f (raw)   -2.71 eV/f.u.
Calculated density   6.39 g cm⁻³

=====

(4)
A plane-wave DFT calculation with GGA-PBE was carried out for a relaxed structure of Na2InPb4.

a = 5.833 Å, b = 5.833 Å, c = 15.851 Å
α = 90.00°, β = 90.00°, γ = 90.00°
Space group I4/mmm (No. 139)
Inequivalent atoms, fractional coordinates:
Na 0.000 0.000 0.117 x4
In 0.000 0.000 0.500 x2
Pb 0.000 0.000 0.318 x4
Pb 0.000 0.500 0.000 x4

Values from the calculation:
Energy   -36.45 eV/cell
Energy of formation   0.28 eV per atom
V   38.521 A^3/atom
Calculated density   6.09 g cm⁻³

=====

(5)
A plane-wave DFT calculation with GGA-PBE was carried out for a relaxed structure of CsKHI.

a = 8.517 Å, b = 8.517 Å, c = 8.517 Å
α = 90.00°, β = 90.00°, γ = 90.00°
Space group F-43m (No. 216)
Inequivalent atoms, fractional coordinates:
Cs 0.000 0.000 0.000 x4
K 0.000 0.000 0.500 x4
H 0.250 0.250 0.750 x4
I 0.250 0.250 0.250 x4

Values from the calculation:
Energy   -38.33 eV/cell
V   38.614 A^3/atom
Calculated density   3.22 g cm⁻³

=====

(6)
A plane-wave DFT calculation with GGA-PBE was carried out for a relaxed structure of SrMgIr2.

a = 4.333 Å, b = 4.333 Å, c = 8.131 Å
α = 90.00°, β = 90.00°, γ = 90.00°
Space group I4/mmm (No. 139)
Inequivalent atoms, fractional coordinates:
Sr 0.000 0.000 0.000 x2
Mg 0.000 0.000 0.500 x2
Ir 0.000 0.500 0.250 x4

Values from the calculation:
Energy   -40.52 eV/cell
Energy of formation   0.18 eV per atom
V   19.084 A^3/atom
Calculated density   10.80 g cm⁻³

=====

Q: Number 6 is which compound?
A: SrMgIr2

=====

Q: The lowest energy belongs to which entry?
A: Y3Ho3Tm

=====

Q: The highest calculated density belongs to which entry?
A: SrMgIr2

=====

Q: Which value of calculated density does entry 2 give?
A: 9.02 g cm⁻³